Density functional theory data (PBE-GGA) for a geometry-optimized AcAlAgAu structure.

a = 4.431 Å, b = 4.431 Å, c = 10.199 Å
α = 90.00°, β = 90.00°, γ = 90.00°
Atoms (fractional coordinates):
Ac1 0.000 0.500 0.784
Ac2 0.500 0.000 0.216
Al1 0.000 0.500 0.362
Al2 0.500 0.000 0.638
Ag1 0.000 0.000 0.500
Ag2 0.500 0.500 0.500
Au1 0.500 0.000 0.897
Au2 0.000 0.500 0.103

## Properties
Energy relative to the lowest polymorph listed for this composition, eV per atom: 0.000
SG: P4/nmm
Formation energy from the elements, eV per atom: -0.460

---

Density functional theory data (PBE-GGA) for a geometry-optimized AcAl2AgAu4 structure.

a = 4.488 Å, b = 4.488 Å, c = 9.976 Å
α = 77.00°, β = 77.00°, γ = 60.00°
Atoms (fractional coordinates):
Ac1 0.000 0.000 0.000
Al1 0.767 0.767 0.700
Al2 0.233 0.233 0.300
Ag1 0.500 0.500 0.500
Au1 0.401 0.401 0.798
Au2 0.874 0.874 0.377
Au3 0.126 0.126 0.623
Au4 0.599 0.599 0.202

## Properties
SG: R-3m
Formation energy from the elements, eV per atom: -0.461

---

Density functional theory data (PBE-GGA) for a geometry-optimized Ac2Al6AgAu structure.

a = 7.126 Å, b = 7.029 Å, c = 5.539 Å
α = 66.61°, β = 66.92°, γ = 80.06°
Atoms (fractional coordinates):
Ac1 0.783 0.282 0.468
Ac2 0.217 0.718 0.532
Al1 0.256 0.246 0.499
Al2 0.742 0.755 0.001
Al3 0.421 0.919 0.829
Al4 0.579 0.081 0.171
Al5 0.258 0.245 0.999
Al6 0.744 0.754 0.501
Ag1 0.000 0.000 0.000
Au1 0.500 0.500 0.000

## Properties
SG: P-1
Formation energy from the elements, eV per atom: -0.338

---

Question: Which of these has the lowest formation energy from the elements?
Answer: AcAl2AgAu4

---

Question: Which value of formation energy from the elements does entry 2 give?
Answer: -0.461 eV per atom

---

Question: Among the records above, which one has the highest formation energy from the elements?
Answer: Ac2Al6AgAu